(1)
Here is a relaxed structure of LuZrMo4 from Alexandria via LeMat-Bulk. Energies are from PBE-GGA.

Results
ΔH_f (0 K) = -6.1 kJ/mol of atoms
Volume = 112.7 Å³/f.u.
Calculated total energy = -9.462 eV/atom

Cell lengths 5.422, 5.422, 5.422 Å; angles 60.00, 60.00, 60.00 degrees
Element x y z (fractional)
Lu1 0.000 0.000 0.000
Zr1 0.750 0.750 0.750
Mo1 0.375 0.375 0.375
Mo2 0.375 0.375 0.875
Mo3 0.375 0.875 0.375
Mo4 0.875 0.375 0.375

(2)
Here is a relaxed structure of ZnIr2Pt from Alexandria via LeMat-Bulk. Energies are from PBE-GGA.

Results
ΔH_f (0 K) = 8.4 kJ/mol of atoms
Volume = 59.8 Å³/f.u.
Calculated total energy = -6.173 eV/atom

Cell lengths 2.751, 2.751, 9.117 Å; angles 90.00, 90.00, 119.96 degrees
Element x y z (fractional)
Zn1 0.000 0.000 0.000
Ir1 0.500 0.500 0.240
Ir2 0.500 0.500 0.760
Pt1 0.000 0.000 0.500

(3)
Here is a relaxed structure of BaCl4 from Alexandria via LeMat-Bulk. Energies are from PBE-GGA.

Results
Volume = 229.6 Å³/f.u.
Calculated total energy = -2.810 eV/atom
E_form (uncorrected) = -0.95 eV/atom

Cell lengths 6.123, 6.123, 6.123 Å; angles 90.00, 90.00, 90.00 degrees
Element x y z (fractional)
Ba1 0.000 0.000 0.000
Cl1 0.000 0.000 0.500
Cl2 0.000 0.500 0.000
Cl3 0.500 0.000 0.000
Cl4 0.500 0.500 0.500

(4)
Here is a relaxed structure of TbNd3P4 from Alexandria via LeMat-Bulk. Energies are from PBE-GGA.

Results
ΔH_f (0 K) = -149.4 kJ/mol of atoms
Volume = 199.7 Å³/f.u.
Calculated total energy = -6.620 eV/atom

Cell lengths 5.845, 5.845, 5.845 Å; angles 90.00, 90.00, 90.00 degrees
Element x y z (fractional)
Tb1 0.000 0.000 0.000
Nd1 0.000 0.500 0.500
Nd2 0.500 0.000 0.500
Nd3 0.500 0.500 0.000
P1 0.000 0.000 0.500
P2 0.000 0.500 0.000
P3 0.500 0.000 0.000
P4 0.500 0.500 0.500

(5)
Here is a relaxed structure of LiYBr2 from Alexandria via LeMat-Bulk. Energies are from PBE-GGA.

Results
Volume = 107.2 Å³/f.u.
Calculated total energy = -4.059 eV/atom
E_form (uncorrected) = -1.13 eV/atom

Cell lengths 3.621, 3.621, 8.178 Å; angles 90.00, 90.00, 90.00 degrees
Element x y z (fractional)
Li1 0.000 0.000 0.000
Y1 0.500 0.500 0.305
Br1 0.000 0.000 0.519
Br2 0.500 0.500 0.948

(6)
Here is a relaxed structure of MgPt2Pb2 from Alexandria via LeMat-Bulk. Energies are from PBE-GGA.

Results
ΔH_f (0 K) = -24.1 kJ/mol of atoms
Volume = 109.6 Å³/f.u.
Calculated total energy = -4.469 eV/atom

Cell lengths 7.220, 7.220, 4.207 Å; angles 90.00, 90.00, 90.00 degrees
Element x y z (fractional)
Mg1 0.000 0.000 0.000
Mg2 0.500 0.500 0.000
Pt1 0.141 0.359 0.000
Pt2 0.359 0.859 0.000
Pt3 0.641 0.141 0.000
Pt4 0.859 0.641 0.000
Pb1 0.166 0.666 0.500
Pb2 0.334 0.166 0.500
Pb3 0.666 0.834 0.500
Pb4 0.834 0.334 0.500

(7)
Here is a relaxed structure of GeTePb3 from Alexandria via LeMat-Bulk. Energies are from PBE-GGA.

Results
Volume = 211.6 Å³/f.u.
Calculated total energy = -3.086 eV/atom
E_form (uncorrected) = 0.69 eV/atom

Cell lengths 5.959, 5.959, 5.959 Å; angles 90.00, 90.00, 90.00 degrees
Element x y z (fractional)
Ge1 0.000 0.000 0.000
Te1 0.500 0.500 0.500
Pb1 0.000 0.500 0.500
Pb2 0.500 0.000 0.500
Pb3 0.500 0.500 0.000

(8)
Here is a relaxed structure of PuHgRh2 from Alexandria via LeMat-Bulk. Energies are from PBE-GGA.

Results
ΔH_f (0 K) = -31.4 kJ/mol of atoms
Volume = 73.5 Å³/f.u.
Calculated total energy = -7.659 eV/atom

Cell lengths 4.461, 4.461, 3.694 Å; angles 90.00, 90.00, 90.00 degrees
Element x y z (fractional)
Pu1 0.000 0.000 0.000
Hg1 0.500 0.500 0.000
Rh1 0.000 0.500 0.500
Rh2 0.500 0.000 0.500

(9)
Here is a relaxed structure of Tb16Pr6Ho7 from Alexandria via LeMat-Bulk. Energies are from PBE-GGA.

Results
ΔH_f (0 K) = 22.0 kJ/mol of atoms
Volume = 997.0 Å³/f.u.
Calculated total energy = -4.421 eV/atom

Cell lengths 11.214, 11.214, 11.214 Å; angles 60.00, 60.00, 60.00 degrees
Element x y z (fractional)
Tb1 0.045 0.652 0.652
Tb2 0.126 0.126 0.126
Tb3 0.126 0.126 0.622
Tb4 0.126 0.622 0.126
Tb5 0.348 0.348 0.348
Tb6 0.348 0.348 0.955
Tb7 0.348 0.955 0.348
Tb8 0.378 0.874 0.874
Tb9 0.622 0.126 0.126
Tb10 0.652 0.045 0.652
Tb11 0.652 0.652 0.045
Tb12 0.652 0.652 0.652
Tb13 0.874 0.378 0.874
Tb14 0.874 0.874 0.378
Tb15 0.874 0.874 0.874
Tb16 0.955 0.348 0.348
Pr1 0.274 0.274 0.726
Pr2 0.274 0.726 0.274
Pr3 0.274 0.726 0.726
Pr4 0.726 0.274 0.274
Pr5 0.726 0.274 0.726
Pr6 0.726 0.726 0.274
Ho1 0.000 0.000 0.000
Ho2 0.000 0.000 0.500
Ho3 0.000 0.500 0.000
Ho4 0.000 0.500 0.500
Ho5 0.500 0.000 0.000
Ho6 0.500 0.000 0.500
Ho7 0.500 0.500 0.000

(10)
Here is a relaxed structure of Na2CePuO6 from Alexandria via LeMat-Bulk. Energies are from PBE-GGA.

Results
Volume = 158.8 Å³/f.u.
Calculated total energy = -7.787 eV/atom
E_form (uncorrected) = -2.52 eV/atom

Cell lengths 6.088, 6.088, 4.285 Å; angles 90.00, 90.00, 90.00 degrees
Element x y z (fractional)
Na1 0.000 0.500 0.000
Na2 0.500 0.000 0.000
Ce1 0.000 0.000 0.600
Pu1 0.500 0.500 0.629
O1 0.000 0.000 0.108
O2 0.264 0.264 0.646
O3 0.264 0.736 0.646
O4 0.500 0.500 0.129
O5 0.736 0.264 0.646
O6 0.736 0.736 0.646

(11)
Here is a relaxed structure of CeMgHg from Alexandria via LeMat-Bulk. Energies are from PBE-GGA.

Results
ΔH_f (0 K) = -17.2 kJ/mol of atoms
Volume = 75.0 Å³/f.u.
Calculated total energy = -2.789 eV/atom

Cell lengths 6.902, 6.902, 6.902 Å; angles 151.43, 151.43, 40.84 degrees
Element x y z (fractional)
Ce1 0.000 0.000 0.000
Mg1 0.309 0.309 0.000
Hg1 0.675 0.675 0.000

(12)
Here is a relaxed structure of Ac2MnAs3Pt4 from Alexandria via LeMat-Bulk. Energies are from PBE-GGA.

Results
ΔH_f (0 K) = -80.3 kJ/mol of atoms
Volume = 207.6 Å³/f.u.
Calculated total energy = -6.382 eV/atom

Cell lengths 4.461, 4.461, 10.431 Å; angles 90.00, 90.00, 90.00 degrees
Element x y z (fractional)
Ac1 0.000 0.500 0.245
Ac2 0.500 0.000 0.755
Mn1 0.000 0.000 0.500
As1 0.000 0.500 0.870
As2 0.500 0.000 0.130
As3 0.500 0.500 0.500
Pt1 0.000 0.000 0.000
Pt2 0.000 0.500 0.628
Pt3 0.500 0.000 0.372
Pt4 0.500 0.500 0.000

- Among the records above, which one has the highest calculated total energy?
  CeMgHg

- The lowest volume belongs to which entry?
  ZnIr2Pt

- What is the formula in the second record?
  ZnIr2Pt